## Sb2TeIr (PBE-GGA)

Data for crystalline Sb2TeIr at its relaxed geometry.

a = 3.274 Å, b = 3.192 Å, c = 9.540 Å
α = 90.00°, β = 91.43°, γ = 90.00°
Positions (direct):
Sb (0.015, 0.000, 0.178)
Sb (0.985, 0.000, 0.822)
Te (0.500, 0.500, 0.500)
Ir (0.500, 0.500, 0.000)

## Properties
space-group type: P2/m
DOS at the Fermi energy: 3.64 states/eV/cell


## SbTe2Ir (PBE-GGA)

Data for crystalline SbTe2Ir at its relaxed geometry.

a = 5.055 Å, b = 5.055 Å, c = 5.055 Å
α = 60.00°, β = 60.00°, γ = 60.00°
Positions (direct):
Sb (0.000, 0.000, 0.000)
Te (0.250, 0.250, 0.250)
Te (0.500, 0.500, 0.500)
Ir (0.750, 0.750, 0.750)

## Properties
space-group type: F-43m
DOS at the Fermi energy: 2.81 states/eV/cell


## Sb2TeIr (PBE-GGA)

Data for crystalline Sb2TeIr at its relaxed geometry.

a = 5.067 Å, b = 5.067 Å, c = 3.714 Å
α = 90.00°, β = 90.00°, γ = 104.67°
Positions (direct):
Sb (0.000, 0.500, 0.000)
Sb (0.500, 0.000, 0.000)
Te (0.000, 0.000, 0.500)
Ir (0.500, 0.500, 0.500)

## Properties
space-group type: Cmmm
DOS at the Fermi energy: 2.14 states/eV/cell


Let's list formation energy from raw total energies in order: 0.06, 0.60, 0.52 eV/atom.